Entry from Alexandria via LeMat-Bulk: a relaxed structure of Ac8PrRu2 (PBE).

POSCAR file:
```
Ac8PrRu2
1.0
6.7956 -4.5628 0.0000
6.7956 4.5628 0.0000
-3.1042 0.0000 7.2490
Ac Pr Ru
8 1 2
Direct
0.0870 0.6805 0.6994 Ac
0.1685 0.1685 0.7924 Ac
0.3195 0.9130 0.3006 Ac
0.3725 0.3725 0.3010 Ac
0.6275 0.6275 0.6990 Ac
0.6805 0.0870 0.6994 Ac
0.8315 0.8315 0.2076 Ac
0.9130 0.3195 0.3006 Ac
0.5000 0.5000 0.0000 Pr
0.3045 0.3045 0.5960 Ru
0.6955 0.6955 0.4040 Ru
```

Output
**Formation energy from the elements**: -0.088 eV/f.u.
**ρ**: 8.0 g cm⁻³
**Space group**: C2/m (12)
**Total magnetic moment**: 0.0 μB per formula unit